Computed, not measured: a relaxed structure of Cs4Cu3AgBr12 at the PBE level of DFT.

Values from the calculation:
**Space-group type**: Im-3m, No. 229

POSCAR file:
```
Cs4Cu3AgBr12
1.0
9.237 0.000 0.000
-3.079 8.709 0.000
-3.079 -4.355 7.542
Cs Br Cu Ag
4 12 3 1
Direct
0.500 0.500 0.500 Cs
0.000 0.000 0.500 Cs
0.500 0.000 0.000 Cs
0.000 0.500 0.000 Cs
0.000 0.736 0.736 Br
0.750 0.500 0.250 Br
0.000 0.264 0.264 Br
0.264 0.264 0.000 Br
0.500 0.750 0.250 Br
0.736 0.736 0.000 Br
0.736 0.000 0.736 Br
0.250 0.750 0.500 Br
0.264 0.000 0.264 Br
0.750 0.250 0.500 Br
0.250 0.500 0.750 Br
0.500 0.250 0.750 Br
0.500 0.000 0.500 Cu
0.500 0.500 0.000 Cu
0.000 0.500 0.500 Cu
0.000 0.000 0.000 Ag
```

=====

Computed, not measured: a relaxed structure of Cs2Cu2AgBr6 at the PBE level of DFT.

Values from the calculation:
**Space-group type**: C2/m, No. 12

POSCAR file:
```
Cs2Cu2AgBr6
1.0
-1.655 -3.475 -6.407
7.694 1.915 1.334
-2.196 -6.568 4.129
Br Cs Cu Ag
6 2 2 1
Direct
0.760 0.520 0.691 Br
0.214 0.924 0.231 Br
0.786 0.076 0.769 Br
0.710 0.924 0.231 Br
0.240 0.480 0.309 Br
0.290 0.076 0.769 Br
0.288 0.576 0.801 Cs
0.712 0.424 0.199 Cs
0.933 0.866 0.745 Cu
0.067 0.134 0.255 Cu
0.500 0.000 0.500 Ag
```

=====

Computed, not measured: a relaxed structure of CsCuAgBr3 at the PBE level of DFT.

Values from the calculation:
**Space-group type**: C2/m, No. 12

POSCAR file:
```
CsCuAgBr3
1.0
-3.130 1.636 2.446
-5.592 -5.093 -7.523
1.052 -6.382 5.614
Ag Br Cu Cs
2 6 2 2
Direct
0.327 0.655 0.554 Ag
0.673 0.345 0.446 Ag
0.894 0.788 0.399 Br
0.779 0.559 0.724 Br
0.221 0.441 0.276 Br
0.106 0.212 0.601 Br
0.465 0.930 0.761 Br
0.535 0.070 0.239 Br
0.008 0.016 0.357 Cu
0.992 0.984 0.643 Cu
0.637 0.273 0.945 Cs
0.363 0.727 0.055 Cs
```

=====

Number 1: raw formation energy -0.89 eV per atom, total energy -2.817 eV/atom. Number 2: raw formation energy -0.86 eV per atom, total energy -2.932 eV/atom. Number 3: raw formation energy -0.76 eV per atom, total energy -2.899 eV/atom.